(1)
## Co3CuMo (PBE-GGA)

Data for an optimized crystal structure of Co3CuMo.

Offset from the most stable computed form ... 0.00 kcal/mol of atoms

abc: 4.2100 4.2100 4.2100
angles: 90.00 90.00 90.00
Space group Pm-3m (No. 221)
Inequivalent atoms, fractional coordinates:
Co1 0.0000 0.0000 0.5000 x3
Cu1 0.0000 0.0000 0.0000 x1
Mo1 0.5000 0.5000 0.5000 x1


(2)
## Y2TcPd (PBE-GGA)

Data for an optimized crystal structure of Y2TcPd.

abc: 3.5007 3.5007 6.8611
angles: 90.00 90.00 90.00
Space group P4/mmm (No. 123)
Inequivalent atoms, fractional coordinates:
Y1 0.0000 0.0000 0.2415 x2
Tc1 0.5000 0.5000 0.0000 x1
Pd1 0.5000 0.5000 0.5000 x1


Number 1: energy -5.81 eV per atom, formation enthalpy at 0 K 1437 meV per atom. Number 2: energy -7.52 eV per atom, formation enthalpy at 0 K -397 meV per atom.